Ac6BiSb3S2: relaxed, PBE-GGA.

Unit cell a=10.397 b=10.397 c=9.303 alpha=102.59 beta=102.59 gamma=26.04
Atoms (fractional coordinates):
1 Ac 0.007 0.007 0.258
2 Ac 0.329 0.329 0.425
3 Ac 0.330 0.330 0.906
4 Ac 0.670 0.670 0.094
5 Ac 0.671 0.671 0.575
6 Ac 0.993 0.993 0.742
7 Bi 0.500 0.500 0.000
8 Sb 0.164 0.164 0.830
9 Sb 0.500 0.500 0.500
10 Sb 0.836 0.836 0.170
11 S 0.170 0.170 0.338
12 S 0.830 0.830 0.662

## Properties
volume	430.24	Å³ per cell
magnetic moment	0.0000	μB/atom
formation energy without anion corrections	-1.41	eV/atom
crystal system	monoclinic

=====

HfZr3Tl3Se8: relaxed, PBE-GGA.

Unit cell a=7.563 b=7.563 c=9.435 alpha=113.74 beta=113.74 gamma=60.00
Atoms (fractional coordinates):
1 Hf 0.000 0.000 0.000
2 Zr 0.000 0.500 0.000
3 Zr 0.500 0.000 0.000
4 Zr 0.500 0.500 0.000
5 Tl 0.000 0.000 0.500
6 Tl 0.000 0.500 0.500
7 Tl 0.500 0.000 0.500
8 Se 0.230 0.736 0.196
9 Se 0.231 0.231 0.196
10 Se 0.264 0.770 0.804
11 Se 0.267 0.267 0.804
12 Se 0.733 0.733 0.196
13 Se 0.736 0.230 0.196
14 Se 0.769 0.769 0.804
15 Se 0.770 0.264 0.804

## Properties
volume	413.85	Å³ per cell
magnetic moment	0.0000	μB/atom
formation energy without anion corrections	-1.08	eV/atom
crystal system	monoclinic

=====

Tb2PmY3Te6: relaxed, PBE-GGA.

Unit cell a=9.801 b=9.801 c=8.814 alpha=102.93 beta=102.93 gamma=25.73
Atoms (fractional coordinates):
1 Tb 0.165 0.165 0.330
2 Tb 0.835 0.835 0.670
3 Pm 0.500 0.500 0.000
4 Y 0.164 0.164 0.833
5 Y 0.500 0.500 0.500
6 Y 0.836 0.836 0.167
7 Te 0.001 0.001 0.256
8 Te 0.330 0.330 0.916
9 Te 0.333 0.333 0.417
10 Te 0.667 0.667 0.583
11 Te 0.670 0.670 0.084
12 Te 0.999 0.999 0.744

## Properties
volume	357.75	Å³ per cell
magnetic moment	0.0000	μB/atom
formation energy without anion corrections	-1.33	eV/atom
crystal system	monoclinic

=====

BaSrPtAu: relaxed, PBE-GGA.

Unit cell a=5.105 b=5.105 c=5.614 alpha=90.00 beta=90.00 gamma=120.00
Atoms (fractional coordinates):
1 Ba 0.000 0.000 0.000
2 Sr 0.667 0.333 0.466
3 Pt 0.333 0.667 0.239
4 Au 0.333 0.667 0.729

## Properties
volume	126.70	Å³ per cell
E_form	-747	meV/atom
E above lowest polymorph	0.000	eV/atom
magnetic moment	0.0000	μB/atom
crystal system	trigonal

=====

Cu2AsO6: relaxed, PBE-GGA.

Unit cell a=4.503 b=4.503 c=8.792 alpha=90.00 beta=90.00 gamma=90.00
Atoms (fractional coordinates):
1 Cu 0.000 0.000 0.167
2 Cu 0.000 0.000 0.833
3 Cu 0.500 0.500 0.333
4 Cu 0.500 0.500 0.667
5 As 0.000 0.000 0.500
6 As 0.500 0.500 0.000
7 O 0.186 0.186 0.339
8 O 0.186 0.186 0.661
9 O 0.200 0.200 0.000
10 O 0.300 0.700 0.500
11 O 0.314 0.686 0.161
12 O 0.314 0.686 0.839
13 O 0.686 0.314 0.161
14 O 0.686 0.314 0.839
15 O 0.700 0.300 0.500
16 O 0.800 0.800 0.000
17 O 0.814 0.814 0.339
18 O 0.814 0.814 0.661

## Properties
volume	178.31	Å³ per cell
E above lowest polymorph	0.000	eV/atom
magnetic moment	0.0000	μB/atom
formation energy without anion corrections	-0.55	eV/atom
crystal system	tetragonal

=====

ScNbOsW: relaxed, PBE-GGA.

Unit cell a=6.442 b=6.442 c=6.442 alpha=90.00 beta=90.00 gamma=90.00
Atoms (fractional coordinates):
1 Sc 0.000 0.000 0.000
2 Sc 0.000 0.500 0.500
3 Sc 0.500 0.000 0.500
4 Sc 0.500 0.500 0.000
5 Nb 0.250 0.250 0.750
6 Nb 0.250 0.750 0.250
7 Nb 0.750 0.250 0.250
8 Nb 0.750 0.750 0.750
9 Os 0.250 0.250 0.250
10 Os 0.250 0.750 0.750
11 Os 0.750 0.250 0.750
12 Os 0.750 0.750 0.250
13 W 0.000 0.000 0.500
14 W 0.000 0.500 0.000
15 W 0.500 0.000 0.000
16 W 0.500 0.500 0.500

## Properties
volume	267.34	Å³ per cell
E_form	-75	meV/atom
magnetic moment	0.0000	μB/atom
crystal system	cubic

=====

BH6Cl2: relaxed, PBE-GGA.

Unit cell a=5.385 b=5.385 c=4.686 alpha=93.43 beta=93.43 gamma=58.27
Atoms (fractional coordinates):
1 B 0.000 0.000 0.000
2 H 0.102 0.778 0.134
3 H 0.108 0.108 0.195
4 H 0.222 0.898 0.866
5 H 0.778 0.102 0.134
6 H 0.892 0.892 0.805
7 H 0.898 0.222 0.866
8 Cl 0.265 0.265 0.482
9 Cl 0.735 0.735 0.518

## Properties
volume	115.29	Å³ per cell
magnetic moment	0.0253	μB/atom
crystal system	monoclinic

=====

Cs2In3I8: relaxed, PBE-GGA.

Unit cell a=10.168 b=10.168 c=8.310 alpha=105.40 beta=105.40 gamma=55.75
Atoms (fractional coordinates):
1 Cs 0.234 0.234 0.192
2 Cs 0.766 0.766 0.808
3 In 0.244 0.756 0.500
4 In 0.500 0.500 0.000
5 In 0.756 0.244 0.500
6 I 0.123 0.123 0.516
7 I 0.183 0.622 0.088
8 I 0.378 0.817 0.912
9 I 0.395 0.395 0.644
10 I 0.605 0.605 0.356
11 I 0.622 0.183 0.088
12 I 0.817 0.378 0.912
13 I 0.877 0.877 0.484

## Properties
volume	677.33	Å³ per cell
magnetic moment	0.0000	μB/atom
formation energy without anion corrections	-0.76	eV/atom
crystal system	monoclinic

=====

Mg5CdIn2Pd2: relaxed, PBE-GGA.

Unit cell a=10.357 b=10.357 c=3.899 alpha=90.00 beta=90.00 gamma=90.00
Atoms (fractional coordinates):
1 Mg 0.000 0.500 0.000
2 Mg 0.077 0.206 0.000
3 Mg 0.206 0.923 0.000
4 Mg 0.294 0.423 0.000
5 Mg 0.423 0.706 0.000
6 Mg 0.500 0.000 0.000
7 Mg 0.577 0.294 0.000
8 Mg 0.706 0.577 0.000
9 Mg 0.794 0.077 0.000
10 Mg 0.923 0.794 0.000
11 Cd 0.000 0.000 0.500
12 Cd 0.500 0.500 0.500
13 In 0.170 0.670 0.500
14 In 0.330 0.170 0.500
15 In 0.670 0.830 0.500
16 In 0.830 0.330 0.500
17 Pd 0.125 0.375 0.500
18 Pd 0.375 0.875 0.500
19 Pd 0.625 0.125 0.500
20 Pd 0.875 0.625 0.500

## Properties
volume	418.23	Å³ per cell
E_form	-304	meV/atom
magnetic moment	0.0000	μB/atom
crystal system	tetragonal

=====

AcThGe2: relaxed, PBE-GGA.

Unit cell a=9.972 b=9.972 c=7.652 alpha=104.57 beta=104.57 gamma=127.67
Atoms (fractional coordinates):
1 Ac 0.059 0.941 0.750
2 Ac 0.185 0.815 0.250
3 Ac 0.815 0.185 0.750
4 Ac 0.941 0.059 0.250
5 Th 0.309 0.691 0.750
6 Th 0.434 0.566 0.250
7 Th 0.566 0.434 0.750
8 Th 0.691 0.309 0.250
9 Ge 0.071 0.446 0.268
10 Ge 0.218 0.343 0.768
11 Ge 0.343 0.218 0.268
12 Ge 0.446 0.071 0.768
13 Ge 0.554 0.929 0.232
14 Ge 0.657 0.782 0.732
15 Ge 0.782 0.657 0.232
16 Ge 0.929 0.554 0.732

## Properties
volume	494.73	Å³ per cell
E_form	-649	meV/atom
magnetic moment	0.0000	μB/atom
crystal system	monoclinic

=====

TlPtIO2: relaxed, PBE-GGA.

Unit cell a=4.258 b=4.258 c=5.625 alpha=90.00 beta=90.00 gamma=90.00
Atoms (fractional coordinates):
1 Tl 0.000 0.000 0.000
2 Pt 0.500 0.500 0.500
3 I 0.500 0.500 0.000
4 O 0.000 0.500 0.500
5 O 0.500 0.000 0.500

## Properties
volume	101.96	Å³ per cell
E above lowest polymorph	0.000	eV/atom
magnetic moment	0.3080	μB/atom
formation energy without anion corrections	0.13	eV/atom
crystal system	tetragonal

=====

Mg3Mn: relaxed, PBE-GGA.

Unit cell a=5.272 b=9.859 c=6.147 alpha=90.00 beta=90.00 gamma=90.00
Atoms (fractional coordinates):
1 Mg 0.073 0.250 0.111
2 Mg 0.240 0.508 0.370
3 Mg 0.240 0.992 0.370
4 Mg 0.260 0.008 0.870
5 Mg 0.260 0.492 0.870
6 Mg 0.427 0.750 0.611
7 Mg 0.573 0.250 0.389
8 Mg 0.740 0.508 0.130
9 Mg 0.740 0.992 0.130
10 Mg 0.760 0.008 0.630
11 Mg 0.760 0.492 0.630
12 Mg 0.927 0.750 0.889
13 Mn 0.083 0.250 0.629
14 Mn 0.417 0.750 0.129
15 Mn 0.583 0.250 0.871
16 Mn 0.917 0.750 0.371

## Properties
volume	319.49	Å³ per cell
E_form	189	meV/atom
magnetic moment	0.9127	μB/atom
crystal system	orthorhombic

=====

Tm2PtPb: relaxed, PBE-GGA.

Unit cell a=6.872 b=3.925 c=8.456 alpha=90.00 beta=105.75 gamma=90.00
Atoms (fractional coordinates):
1 Tm 0.000 0.000 0.000
2 Tm 0.207 0.000 0.614
3 Tm 0.500 0.500 0.000
4 Tm 0.707 0.500 0.614
5 Pt 0.104 0.500 0.809
6 Pt 0.604 0.000 0.809
7 Pb 0.273 0.500 0.307
8 Pb 0.773 0.000 0.307

## Properties
volume	219.54	Å³ per cell
E_form	-782	meV/atom
magnetic moment	0.0000	μB/atom
crystal system	monoclinic

=====

NaIn3I4: relaxed, PBE-GGA.

Unit cell a=8.486 b=9.789 c=8.430 alpha=90.00 beta=109.48 gamma=90.00
Atoms (fractional coordinates):
1 Na 0.000 0.122 0.250
2 Na 0.000 0.878 0.750
3 In 0.000 0.373 0.750
4 In 0.000 0.627 0.250
5 In 0.500 0.124 0.750
6 In 0.500 0.372 0.250
7 In 0.500 0.628 0.750
8 In 0.500 0.876 0.250
9 I 0.234 0.117 0.003
10 I 0.234 0.883 0.503
11 I 0.241 0.365 0.489
12 I 0.241 0.635 0.989
13 I 0.759 0.365 0.011
14 I 0.759 0.635 0.511
15 I 0.766 0.117 0.497
16 I 0.766 0.883 0.997

## Properties
volume	660.16	Å³ per cell
E above lowest polymorph	0.000	eV/atom
magnetic moment	0.0000	μB/atom
formation energy without anion corrections	-0.65	eV/atom
crystal system	monoclinic

=====

KCaTeI2: relaxed, PBE-GGA.

Unit cell a=6.185 b=6.185 c=6.109 alpha=90.00 beta=90.00 gamma=90.00
Atoms (fractional coordinates):
1 K 0.000 0.000 0.000
2 Ca 0.500 0.500 0.500
3 Te 0.500 0.500 0.000
4 I 0.000 0.500 0.500
5 I 0.500 0.000 0.500

## Properties
volume	233.74	Å³ per cell
E above lowest polymorph	0.000	eV/atom
magnetic moment	0.2042	μB/atom
formation energy without anion corrections	-1.10	eV/atom
crystal system	tetragonal

=====

NbPbO2: relaxed, PBE-GGA.

Unit cell a=5.991 b=5.991 c=5.991 alpha=90.00 beta=90.00 gamma=90.00
Atoms (fractional coordinates):
1 Nb 0.000 0.000 0.000
2 Nb 0.000 0.500 0.500
3 Nb 0.500 0.000 0.500
4 Nb 0.500 0.500 0.000
5 Pb 0.000 0.000 0.500
6 Pb 0.000 0.500 0.000
7 Pb 0.500 0.000 0.000
8 Pb 0.500 0.500 0.500
9 O 0.250 0.250 0.250
10 O 0.250 0.250 0.750
11 O 0.250 0.750 0.250
12 O 0.250 0.750 0.750
13 O 0.750 0.250 0.250
14 O 0.750 0.250 0.750
15 O 0.750 0.750 0.250
16 O 0.750 0.750 0.750

## Properties
volume	215.01	Å³ per cell
E above lowest polymorph	1.045	eV/atom
magnetic moment	0.0000	μB/atom
formation energy without anion corrections	-0.47	eV/atom
crystal system	cubic

=====

Hf3AlRh4: relaxed, PBE-GGA.

Unit cell a=9.244 b=6.225 c=4.623 alpha=90.00 beta=90.00 gamma=90.00
Atoms (fractional coordinates):
1 Hf 0.000 0.000 0.000
2 Hf 0.250 0.000 0.496
3 Hf 0.250 0.500 0.493
4 Hf 0.500 0.000 0.000
5 Hf 0.750 0.000 0.504
6 Hf 0.750 0.500 0.507
7 Al 0.000 0.500 0.000
8 Al 0.500 0.500 0.000
9 Rh 0.000 0.252 0.500
10 Rh 0.000 0.748 0.500
11 Rh 0.250 0.252 0.993
12 Rh 0.250 0.748 0.993
13 Rh 0.500 0.252 0.500
14 Rh 0.500 0.748 0.500
15 Rh 0.750 0.252 0.007
16 Rh 0.750 0.748 0.007

## Properties
volume	265.97	Å³ per cell
E_form	-922	meV/atom
magnetic moment	0.0000	μB/atom
crystal system	orthorhombic

=====

TaIn2W: relaxed, PBE-GGA.

Unit cell a=3.531 b=4.738 c=9.359 alpha=90.00 beta=90.00 gamma=90.00
Atoms (fractional coordinates):
1 Ta 0.000 0.000 0.000
2 Ta 0.500 0.500 0.500
3 In 0.000 0.000 0.468
4 In 0.000 0.500 0.235
5 In 0.500 0.000 0.735
6 In 0.500 0.500 0.968
7 W 0.000 0.500 0.709
8 W 0.500 0.000 0.209

## Properties
volume	156.57	Å³ per cell
E_form	425	meV/atom
E above lowest polymorph	0.107	eV/atom
magnetic moment	0.0000	μB/atom
crystal system	orthorhombic

=====

Ac4Nd2Ho3: relaxed, PBE-GGA.

Unit cell a=7.612 b=7.673 c=12.290 alpha=91.67 beta=99.31 gamma=102.55
Atoms (fractional coordinates):
1 Ac 0.010 0.251 0.255
2 Ac 0.250 0.003 0.500
3 Ac 0.250 0.495 0.999
4 Ac 0.488 0.750 0.748
5 Ac 0.512 0.250 0.252
6 Ac 0.750 0.505 0.001
7 Ac 0.750 0.997 0.500
8 Ac 0.990 0.749 0.745
9 Nd 0.104 0.794 0.207
10 Nd 0.376 0.612 0.416
11 Nd 0.624 0.388 0.584
12 Nd 0.896 0.206 0.793
13 Ho 0.118 0.388 0.589
14 Ho 0.255 0.995 0.997
15 Ho 0.397 0.208 0.790
16 Ho 0.603 0.792 0.210
17 Ho 0.745 0.005 0.003
18 Ho 0.882 0.612 0.411

## Properties
volume	689.91	Å³ per cell
E_form	127	meV/atom
magnetic moment	0.0000	μB/atom
crystal system	triclinic

=====

TbGdErZr: relaxed, PBE-GGA.

Unit cell a=7.755 b=7.755 c=7.755 alpha=90.00 beta=90.00 gamma=90.00
Atoms (fractional coordinates):
1 Tb 0.000 0.000 0.000
2 Tb 0.000 0.500 0.500
3 Tb 0.500 0.000 0.500
4 Tb 0.500 0.500 0.000
5 Gd 0.250 0.250 0.250
6 Gd 0.250 0.750 0.750
7 Gd 0.750 0.250 0.750
8 Gd 0.750 0.750 0.250
9 Er 0.000 0.000 0.500
10 Er 0.000 0.500 0.000
11 Er 0.500 0.000 0.000
12 Er 0.500 0.500 0.500
13 Zr 0.250 0.250 0.750
14 Zr 0.250 0.750 0.250
15 Zr 0.750 0.250 0.250
16 Zr 0.750 0.750 0.750

## Properties
volume	466.36	Å³ per cell
E_form	210	meV/atom
magnetic moment	1.2888	μB/atom
crystal system	cubic

=====

no.,final energy (eV/atom)
1,-5.502
2,-5.783
3,-5.682
4,-3.978
5,-5.282
6,-10.221
7,-3.122
8,-2.478
9,-2.779
10,-5.839
11,-3.848
12,-3.299
13,-5.455
14,-2.614
15,-2.964
16,-6.394
17,-8.798
18,-7.146
19,-4.284
20,-7.745